Record 1
A plane-wave DFT calculation with PBE was carried out for a relaxed HoAl4Ag4 crystal.

Lattice parameters (Å, degrees): 6.1469 6.1469 9.1484 90.00 90.00 90.00
Last column: nearest neighbours and their distance in Å.
Space group P4_2/nmc (No. 137, origin choice 2)
Symmetry-distinct sites (fractional):
Ho: 0.2500 0.7500 0.2500 [2 per cell]  4 Al 3.19, 8 Ag 3.45
Al: 0.0278 0.2500 0.0443 [8 per cell]  5 Ag 2.65-2.71, 1 Al 2.73
Ag: 0.0278 0.2500 0.3364 [8 per cell]  5 Al 2.65-2.71, 3 Ag 2.73-2.89

Calculated values
E_tot: -0.261 Ry per atom
Energy of formation: -0.1115 eV per atom


Record 2
A plane-wave DFT calculation with PBE was carried out for a relaxed HoAl3Ag crystal.

Lattice parameters (Å, degrees): 4.1508 4.1508 11.4486 90.00 90.00 90.00
Last column: nearest neighbours and their distance in Å.
Space group I4mm (No. 107)
Symmetry-distinct sites (fractional):
Ho: 0.0000 0.0000 0.0000 [2 per cell]  8 Al 3.12-3.41, 4 Ag 3.27
Al: 0.0000 0.0000 0.4083 [2 per cell]  1 Ag 2.48, 4 Al 2.66
Al: 0.0000 0.5000 0.2635 [4 per cell]  2 Ag 2.61, 2 Al 2.66
Ag: 0.0000 0.0000 0.6253 [2 per cell]  5 Al 2.48-2.61

Calculated values
E_tot: -0.300 Ry per atom
Polymorph energy (0 for the lowest one): 0.0000 eV/atom
Energy of formation: -0.3480 eV per atom


What did we get for D(E_F)? Answer: 3.556; 1.299 states/eV/f.u., in the order shown.